The following is a DFT calculation (PBE) of a geometry-optimized DyBiO3 structure.

It has space group Cmcm (No. 63), with a = 6.598 Å, b = 5.444 Å, c = 8.497 Å, α = 90.00°, β = 90.00° and γ = 90.00°. The asymmetric unit holds Dy at (0.000, 0.053, 0.250), Bi at (0.000, 0.500, 0.000), O at (0.000, 0.000, 0.000) and O at (0.187, 0.404, 0.250).

The value obtained for the total magnetization is 0.00 μB/atom. The value obtained for the total energy is -133.177 eV per cell.